## TiBi2WF (PBE+U)

Data for an optimized crystal structure of TiBi2WF.

abc: 5.3966 5.3966 3.8932
angles: 90.00 90.00 90.00
Last column: nearest neighbours and their distance in Å.
Positions (direct):
Ti 0.0000 0.0000 0.0000  2 F 1.95
Bi 0.0000 0.5000 0.5000  2 F 2.70
Bi 0.5000 0.0000 0.5000  2 F 2.70
W 0.5000 0.5000 0.0000  8 Bi 3.33
F 0.0000 0.0000 0.5000  2 Ti 1.95

Output
Space-group type: No. 123
Uncorrected energy: -4.8387 eV per atom